1.
# CrMo2NCl | Alexandria | GGA-PBEsol | optimized geometry
data_CrMo2NCl
_cell_length_a 4.569
_cell_length_b 4.569
_cell_length_c 3.537
_cell_angle_alpha 90.00
_cell_angle_beta 90.00
_cell_angle_gamma 90.00
_space_group_name_H-M_alt 'P 4/m m m'
_space_group_IT_number 123
_space_group_name_Hall '-P 4 2'
loop_
_atom_site_label
_atom_site_fract_x
_atom_site_fract_y
_atom_site_fract_z
_atom_site_occupancy
Cr1 0.000 0.000 0.000 1
Mo1 0.000 0.500 0.000 1
N1 0.000 0.000 0.500 1
Cl1 0.500 0.500 0.500 1
# M_tot ... 0.86 μB/cell
# E_form (uncorrected) ... 1.19 eV per atom



2.
# SrIn2Sb | Alexandria | GGA-PBEsol | optimized geometry
data_SrIn2Sb
_cell_length_a 4.736
_cell_length_b 4.736
_cell_length_c 9.886
_cell_angle_alpha 90.00
_cell_angle_beta 90.00
_cell_angle_gamma 90.00
_space_group_name_H-M_alt 'I -4 m 2'
_space_group_IT_number 119
_space_group_name_Hall 'I -4 -2'
loop_
_atom_site_label
_atom_site_fract_x
_atom_site_fract_y
_atom_site_fract_z
_atom_site_occupancy
Sr1 0.000 0.000 0.000 1
In1 0.000 0.000 0.500 1
In2 0.000 0.500 0.250 1
Sb1 0.000 0.500 0.750 1
# M_tot ... 0.00 μB/cell
# E_form (uncorrected) ... -0.41 eV per atom